(1)
Here is a relaxed Li12Ag6Au crystal from Alexandria via LeMat-Bulk. Energies are from GGA-PBE.

Magnetic moment, μB/atom: 0.000
ΔE_f, meV/atom: -179

abc: 9.9167 9.9167 11.7627
angles: 90.00 90.00 120.00
Closest atoms and distances in Å follow each position.
Space group R-3 (No. 148, hexagonal axes)
Symmetry-distinct sites (fractional):
Li 0.0326 0.1891 0.3194 x18  1 Au 2.74, 4 Li 2.78-3.01, 4 Ag 2.80-2.97
Li 0.0591 0.8453 0.9111 x18  4 Ag 2.74-2.83, 4 Li 2.82-2.91
Ag 0.0152 0.4288 0.2043 x18  8 Li 2.74-2.97, 1 Au 2.88, 2 Ag 2.98
Au 0.0000 0.0000 0.5000 x3  6 Li 2.74, 6 Ag 2.88

(2)
Here is a relaxed Li2AgAu4 crystal from Alexandria via LeMat-Bulk. Energies are from GGA-PBE.

Magnetic moment, μB/atom: 0.000
ΔE_f, meV/atom: -267

abc: 4.4320 10.6214 5.5143
angles: 90.00 90.40 90.00
Closest atoms and distances in Å follow each position.
Space group P2_1/c (No. 14)
Symmetry-distinct sites (fractional):
Li 0.0031 0.1126 0.1692 x4  6 Au 2.71-2.94
Ag 0.5000 0.0000 0.5000 x2  6 Au 2.77-2.86, 2 Li 3.09
Au 0.0012 0.1327 0.6628 x4  4 Li 2.71-2.80, 2 Ag 2.77-2.78, 4 Au 2.82-2.98
Au 0.4977 0.7347 0.5883 x4  6 Au 2.78-2.98, 1 Ag 2.86, 4 Li 2.93-3.06

(3)
Here is a relaxed Li4Ag3Au crystal from Alexandria via LeMat-Bulk. Energies are from GGA-PBE.

Magnetic moment, μB/atom: 0.000
ΔE_f, meV/atom: -304

abc: 13.7814 4.3917 4.3917
angles: 90.00 108.42 90.00
Closest atoms and distances in Å follow each position.
Space group C2/m (No. 12)
Symmetry-distinct sites (fractional):
Li 0.1214 0.0000 0.1219 x4  6 Ag 2.70-2.77, 2 Au 2.71
Li 0.1214 0.5000 0.6219 x4  2 Au 2.70-2.72, 6 Ag 2.71-2.77
Ag 0.0000 0.0000 0.5000 x2  8 Li 2.70-2.72
Ag 0.2502 0.0000 0.7501 x4  8 Li 2.76-2.77
Au 0.0000 0.5000 0.0000 x2  8 Li 2.70-2.72

(4)
Here is a relaxed LiAg2Au crystal from Alexandria via LeMat-Bulk. Energies are from GGA-PBE.

Magnetic moment, μB/atom: 0.000
ΔE_f, meV/atom: -219

abc: 2.8943 4.0514 5.8183
angles: 90.00 92.41 90.00
Closest atoms and distances in Å follow each position.
Space group Pm (No. 6)
Symmetry-distinct sites (fractional):
Li 0.0000 0.0000 0.0000 x1  4 Au 2.78-2.85, 6 Ag 2.85-2.96, 2 Li 2.89
Ag 0.4817 0.5000 0.2576 x1  2 Au 2.81-3.01, 4 Li 2.85-2.96, 6 Ag 2.87-2.90
Ag 0.9943 0.0000 0.5090 x1  2 Li 2.86-2.96, 6 Ag 2.87-2.90, 4 Au 2.91-2.94
Au 0.5063 0.5000 0.7746 x1  4 Li 2.78-2.85, 6 Ag 2.81-3.01, 2 Au 2.89

(5)
Here is a relaxed Li3AgAu crystal from Alexandria via LeMat-Bulk. Energies are from GGA-PBE.

Magnetic moment, μB/atom: 0.000
ΔE_f, meV/atom: -282

abc: 2.9521 6.2216 9.2351
angles: 90.00 98.91 90.00
Closest atoms and distances in Å follow each position.
Space group P2_1/m (No. 11)
Symmetry-distinct sites (fractional):
Li 0.0828 0.0377 0.1692 x4  4 Au 2.61-2.74, 1 Li 2.64, 2 Ag 2.76
Li 0.3078 0.2500 0.6294 x2  2 Ag 2.71-2.72, 6 Li 2.94-2.98, 1 Au 3.03
Ag 0.3149 0.7500 0.6201 x2  6 Li 2.71-2.76, 2 Ag 2.95
Au 0.4815 0.2500 0.9616 x2  8 Li 2.61-2.74

(6)
Here is a relaxed Li8AgAu2 crystal from Alexandria via LeMat-Bulk. Energies are from GGA-PBE.

Magnetic moment, μB/atom: 0.000
ΔE_f, meV/atom: -266

abc: 7.5710 11.8785 4.6774
angles: 90.00 107.83 90.00
Closest atoms and distances in Å follow each position.
Space group C2/m (No. 12)
Symmetry-distinct sites (fractional):
Li 0.0000 0.2290 0.0000 x4  2 Au 2.56, 1 Ag 2.72
Li 0.1240 0.5000 0.8163 x4  2 Au 2.64, 1 Ag 2.71, 1 Li 2.91
Li 0.1916 0.1211 0.5957 x8  2 Au 2.61-2.70, 2 Li 2.76-2.88
Ag 0.0000 0.0000 0.0000 x2  4 Li 2.71-2.72
Au 0.0000 0.3168 0.5000 x4  8 Li 2.56-2.70

(7)
Here is a relaxed LiAgAu6 crystal from Alexandria via LeMat-Bulk. Energies are from GGA-PBE.

Magnetic moment, μB/atom: 0.000
ΔE_f, meV/atom: -151

abc: 4.7779 5.8877 10.0492
angles: 90.00 90.00 90.00
Closest atoms and distances in Å follow each position.
Space group Amm2 (No. 38)
Symmetry-distinct sites (fractional):
Li 0.0000 0.0000 0.0000 x2  10 Au 2.90-2.92, 2 Ag 2.94
Ag 0.0000 0.0000 0.4999 x2  10 Au 2.90-2.93, 2 Li 2.94
Au 0.0000 0.2497 0.2506 x4  2 Ag 2.90-2.92, 2 Li 2.91-2.92, 8 Au 2.93-2.95
Au 0.5000 0.0000 0.1643 x2  10 Au 2.86-2.96, 2 Li 2.90
Au 0.5000 0.0000 0.6662 x2  10 Au 2.90-2.94, 2 Ag 2.92
Au 0.5000 0.2464 0.9188 x4  8 Au 2.86-2.99, 2 Li 2.91, 2 Ag 2.93

(8)
Here is a relaxed LiAg8Au2 crystal from Alexandria via LeMat-Bulk. Energies are from GGA-PBE.

Magnetic moment, μB/atom: 0.000
ΔE_f, meV/atom: 85

abc: 12.3611 7.0674 4.9899
angles: 90.00 105.64 90.00
Closest atoms and distances in Å follow each position.
Space group C2/m (No. 12)
Symmetry-distinct sites (fractional):
Li 0.0000 0.0000 0.0000 x2  2 Au 2.50, 6 Ag 2.60-2.71
Ag 0.0658 0.3043 0.7954 x8  1 Li 2.60, 3 Ag 2.77-2.89, 1 Au 2.79
Ag 0.1478 0.5000 0.3439 x4  1 Au 2.81, 8 Ag 2.89-3.04
Ag 0.2251 0.0000 0.0725 x4  1 Li 2.71, 2 Au 2.79-2.83, 6 Ag 2.85-2.99
Au 0.1161 0.0000 0.4949 x4  1 Li 2.50, 3 Ag 2.79

(9)
Here is a relaxed LiAg6Au12 crystal from Alexandria via LeMat-Bulk. Energies are from GGA-PBE.

Magnetic moment, μB/atom: 0.000
ΔE_f, meV/atom: -8

abc: 11.3832 11.3832 9.5225
angles: 90.00 90.00 120.00
Closest atoms and distances in Å follow each position.
Space group R-3 (No. 148, hexagonal axes)
Symmetry-distinct sites (fractional):
Li 0.0000 0.0000 0.0000 x3  6 Au 2.80, 6 Ag 2.96
Ag 0.0674 0.1685 0.7430 x18  2 Ag 2.90, 8 Au 2.90-3.14, 1 Li 2.96
Au 0.0097 0.2502 0.0135 x18  1 Li 2.80, 5 Au 2.81-2.89, 4 Ag 2.91-3.00
Au 0.0653 0.5062 0.1229 x18  6 Au 2.74-2.89, 3 Ag 2.90-3.01

(10)
Here is a relaxed LiAg4Au crystal from Alexandria via LeMat-Bulk. Energies are from GGA-PBE.

Magnetic moment, μB/atom: 0.000
ΔE_f, meV/atom: -66

abc: 5.3991 7.9150 5.6527
angles: 90.00 116.84 90.00
Closest atoms and distances in Å follow each position.
Space group C2/m (No. 12)
Symmetry-distinct sites (fractional):
Li 0.0000 0.0000 0.0000 x2  8 Ag 2.80-2.87, 2 Au 2.83
Ag 0.0033 0.3168 0.7544 x8  7 Ag 2.79-3.13, 2 Li 2.80-2.87, 2 Au 2.83-2.89
Au 0.0000 0.0000 0.5000 x2  2 Li 2.83, 8 Ag 2.83-2.89

(11)
Here is a relaxed Li4Ag2Au5 crystal from Alexandria via LeMat-Bulk. Energies are from GGA-PBE.

Magnetic moment, μB/atom: 0.000
ΔE_f, meV/atom: -233

abc: 19.7943 2.8007 6.8483
angles: 90.00 95.44 90.00
Closest atoms and distances in Å follow each position.
Space group C2/m (No. 12)
Symmetry-distinct sites (fractional):
Li 0.0408 0.0000 0.3462 x4  1 Au 2.50, 2 Ag 2.60-2.68, 3 Li 2.77-2.80
Li 0.1778 0.5000 0.4783 x4  5 Au 2.70-2.80, 2 Li 2.80, 2 Ag 2.89
Ag 0.0904 0.0000 0.7247 x4  4 Li 2.60-2.89, 2 Ag 2.80, 2 Au 2.83-2.87
Au 0.0000 0.5000 0.0000 x2  6 Au 2.80-3.11, 4 Li 2.81, 4 Ag 3.06
Au 0.1371 0.0000 0.1338 x4  3 Li 2.50-2.80, 2 Au 2.80
Au 0.2335 0.0000 0.7981 x4  3 Li 2.70-2.74, 4 Au 2.80-2.92, 1 Ag 2.83

(12)
Here is a relaxed Li2Ag2Au crystal from Alexandria via LeMat-Bulk. Energies are from GGA-PBE.

Magnetic moment, μB/atom: 0.000
ΔE_f, meV/atom: -297

abc: 8.8461 4.0536 6.2971
angles: 90.00 132.66 90.00
Closest atoms and distances in Å follow each position.
Space group C2/m (No. 12)
Symmetry-distinct sites (fractional):
Li 0.0945 0.0000 0.3028 x4  3 Au 2.78-2.89, 6 Ag 2.80-2.90, 3 Li 2.93-2.95
Ag 0.1994 0.5000 0.1050 x4  6 Li 2.80-2.90, 3 Ag 2.81-2.87, 3 Au 2.90-2.92
Au 0.0000 0.5000 0.5000 x2  6 Li 2.78-2.89, 6 Ag 2.90-2.92

Which DOS(E_F) belongs to each record? In order, 0.368; 0.208; 0.235; 0.157; 0.245; 0.189; 0.394; 0.371; 0.315; 0.159; 0.303; 0.212 states/eV per atom.